Entry 1:
First-principles (PBE-GGA) data for LiErTlCl5 after structural relaxation, as listed in the Alexandria database. Values from VASP.

Structure (Quantum ESPRESSO input):
```
&SYSTEM
  ibrav = 0, nat = 16, ntyp = 4
/
ATOMIC_SPECIES
Cl 35.45 Cl.upf
Tl 204.38 Tl.upf
Li 6.94 Li.upf
Er 167.26 Er.upf
CELL_PARAMETERS angstrom
7.478 -0.014 -0.075
-2.196 7.149 -0.075
-2.282 -3.083 9.186
ATOMIC_POSITIONS angstrom
Cl 3.332 3.193 3.781
Cl 2.060 1.474 0.662
Cl -2.048 5.846 2.222
Cl -2.875 2.233 8.142
Tl 2.389 0.174 6.815
Cl 5.875 1.819 0.894
Li 3.919 1.428 2.222
Er -1.141 -1.541 4.593
Cl -0.333 0.859 5.255
Er 0.000 0.000 0.000
Cl 4.116 -0.557 3.549
Cl 5.048 -1.794 6.815
Li -0.919 2.624 6.815
Cl 0.940 2.578 8.374
Tl 0.611 3.877 2.222
Cl -1.116 4.609 5.487
```

Properties
For the total energy, the calculation gives -4.124 eV per atom. The raw formation energy comes out at -1.86 eV per atom. The space group is C2/c (15).

---

Entry 2:
First-principles (PBE-GGA) data for LiEr2TlCl8 after structural relaxation, as listed in the Alexandria database. Values from VASP.

Structure (Quantum ESPRESSO input):
```
&SYSTEM
  ibrav = 0, nat = 12, ntyp = 4
/
ATOMIC_SPECIES
Cl 35.45 Cl.upf
Er 167.26 Er.upf
Tl 204.38 Tl.upf
Li 6.94 Li.upf
CELL_PARAMETERS angstrom
-4.155 -3.719 3.937
2.119 -5.976 -1.936
5.613 0.056 5.975
ATOMIC_POSITIONS angstrom
Cl 1.971 -3.162 3.802
Cl -1.680 -4.413 4.002
Cl 1.607 -6.477 4.175
Cl 4.804 -3.024 6.764
Er 0.337 -4.834 2.443
Cl 5.258 -5.227 3.975
Cl 2.023 -5.259 0.531
Tl 2.807 0.028 2.988
Cl -1.226 -6.616 1.213
Er 3.241 -4.805 5.534
Li 0.000 0.000 0.000
Cl 1.555 -4.381 7.446
```

Properties
For the total energy, the calculation gives -4.302 eV per atom. The raw formation energy comes out at -1.95 eV per atom. The space group is P2/m (10).

---

- The highest raw formation energy belongs to which entry?
  LiErTlCl5